CaTl2Re: relaxed, PBE-GGA.

The structure belongs to space group Cmmm (No. 65); the cell edges are 6.2299, 8.8346 and 3.2728 Å and the angles 90.00°, 90.00° and 90.00°. The distinct sites, in fractional coordinates, are Ca at (0.0000, 0.0000, 0.0000), Tl at (0.2500, 0.2500, 0.5000) and Re at (0.0000, 0.5000, 0.0000).

The raw total energy comes out at -32.50 eV per cell. The formation enthalpy at 0 K comes out at 0.733 eV per atom.